PBE-GGA UZn5Pt3, relaxed; symmetry = No. 63; calculated volume = 17.502 Å³ per atom; E_tot = -4.37 eV/atom; ΔH_f (0 K) = -393 meV per atom; magnetization = 3.65 Bohr magnetons per cell
1.0
-4.1645 5.5408 0.2307
1.8134 -5.7858 -3.3665
-7.9968 -6.2805 6.4866
U Zn Pt
2 10 6
direct
0.1656 0.8344 0.7500
0.8344 0.1656 0.2500
0.1954 0.8046 0.4625
0.8046 0.1954 0.9625
0.0000 0.0000 0.5000
0.0000 0.0000 0.0000
0.5764 0.4236 0.1430
0.4236 0.5764 0.8570
0.4236 0.5764 0.6430
0.1954 0.8046 0.0375
0.8046 0.1954 0.5375
0.5764 0.4236 0.3570
0.6120 0.3880 0.9145
0.1722 0.8278 0.2500
0.6120 0.3880 0.5855
0.3880 0.6120 0.4145
0.8278 0.1722 0.7500
0.3880 0.6120 0.0855

***

PBE-GGA Ti2Cd2Ru, relaxed; relative energy among the computed polymorphs = 0.00 kcal/mol of atoms; symmetry = No. 127; calculated volume = 19.175 Å³ per atom; E_tot = -5.20 eV/atom; ΔH_f (0 K) = 176 meV per atom; magnetization = 0.00 Bohr magnetons per cell
1.0
-2.1084 -5.8072 1.2642
0.6876 -1.5707 -6.0686
4.5137 -1.4460 0.8857
Ru Ti Cd
2 4 4
direct
0.0000 0.0000 0.0000
0.5000 0.5000 0.0000
0.3481 0.8481 0.0000
0.8481 0.6519 0.0000
0.6519 0.1519 0.0000
0.1519 0.3481 0.0000
0.1637 0.6637 0.5000
0.6637 0.8363 0.5000
0.8363 0.3363 0.5000
0.3363 0.1637 0.5000

***

PBE-GGA Li2FeBMo, relaxed; symmetry = No. 123; calculated volume = 11.469 Å³ per atom; E_tot = -4.88 eV/atom; ΔH_f (0 K) = 1078 meV per atom; magnetization = 0.00 Bohr magnetons per cell
1.0
3.9081 0.0000 0.0000
0.0000 3.7545 0.0000
0.0000 0.0000 3.9081
Mo B Fe Li
1 1 1 2
direct
0.5000 0.5000 0.5000
0.0000 0.5000 0.0000
0.0000 0.0000 0.0000
0.0000 0.0000 0.5000
0.5000 0.0000 0.0000